Below is crystalline Ac2PrPuAs4 at its relaxed geometry, with properties calculated at the PBE-GGA level.

Results
Its energy of formation is -1330 meV/atom. As for the total energy: -7.071 eV/atom.

Structure (POSCAR):
```
Ac2PrPuAs4
1.0
4.392 0.000 0.000
0.000 7.604 -0.155
0.000 2.671 7.108
Ac Pr Pu As
2 1 1 4
direct
0.000 0.000 0.000
0.500 0.000 0.500
0.000 0.500 0.500
0.500 0.500 0.000
0.000 0.728 0.763
0.000 0.272 0.237
0.500 0.733 0.250
0.500 0.267 0.750
```